CrCoSi2 PBEsol optimized geometry; magnetization = 0.00 μB/atom; N(E_F) = 2.5 states/eV/cell; raw total energy = -7.791 eV per atom; E_form (uncorrected) = -423 meV per atom
1.0
4.315 -1.304 0.000
4.315 1.304 0.000
-1.251 0.000 3.926
Cr Co Si
1 1 2
Cartesian
0.000 0.000 0.000
1.335 0.000 2.368
3.687 0.000 1.957
6.311 0.000 0.429

---

CrOs2Rh PBEsol optimized geometry; magnetization = 0.00 μB/atom; N(E_F) = 4.5 states/eV/cell; raw total energy = -10.608 eV per atom; offset from the most stable computed form = 0.054 eV/atom; calculated formation energy = 0.09 eV per atom
1.0
1.334 0.770 8.612
-1.334 0.770 8.612
0.000 -1.540 8.612
Cr Os Rh
1 2 1
Cartesian
0.000 0.000 0.000
0.000 0.000 6.552
0.000 0.000 19.284
0.000 0.000 12.918

---

AlAsIr2 PBEsol optimized geometry; magnetization = 0.00 μB/atom; N(E_F) = 3.9 states/eV/cell; raw total energy = -7.035 eV per atom; offset from the most stable computed form = 0.357 eV/atom; calculated formation energy = 0.18 eV per atom
1.0
0.000 3.105 3.105
3.105 0.000 3.105
3.105 3.105 0.000
Al As Ir
1 1 2
Cartesian
0.000 0.000 0.000
1.553 1.553 1.553
3.105 3.105 3.105
4.658 4.658 4.658

---

K2Cd2Au PBEsol optimized geometry; magnetization = 0.00 μB/atom; N(E_F) = 3.9 states/eV/cell; raw total energy = -1.778 eV per atom; offset from the most stable computed form = 0.000 eV/atom; calculated formation energy = -0.06 eV per atom
1.0
7.265 0.000 0.000
0.000 7.265 0.000
0.000 0.000 5.636
K Cd Au
4 4 2
Cartesian
1.317 2.315 0.000
2.315 5.948 0.000
4.950 1.317 0.000
5.948 4.950 0.000
1.025 4.658 2.818
2.607 1.025 2.818
4.658 6.240 2.818
6.240 2.607 2.818
0.000 0.000 2.818
3.633 3.633 2.818

---

RbBe3ZnF9 PBEsol optimized geometry; magnetization = 0.00 μB/atom; N(E_F) = 0.0 states/eV/cell; raw total energy = -5.314 eV per atom; E_form (uncorrected) = -3031 meV per atom
1.0
6.678 0.000 0.000
-3.339 5.783 0.000
0.000 0.000 9.691
Rb Be Zn F
2 6 2 18
Cartesian
0.000 0.000 0.000
0.000 0.000 4.845
2.850 0.324 2.423
1.705 2.306 7.268
3.828 0.324 7.268
2.194 3.153 2.423
4.972 2.306 2.423
4.484 3.153 7.268
0.000 3.855 0.000
0.000 3.855 4.845
-0.850 2.419 1.150
-0.850 2.419 3.696
-1.669 3.837 5.995
-1.669 3.837 8.541
0.850 2.419 5.995
0.850 2.419 8.541
-0.819 5.309 1.150
-0.819 5.309 3.696
2.343 0.849 7.268
1.907 1.605 2.423
1.669 3.837 1.150
1.669 3.837 3.696
0.819 5.309 5.995
0.819 5.309 8.541
4.334 0.849 2.423
2.902 3.329 7.268
4.771 1.605 7.268
3.775 3.329 2.423

---

La2Cr PBEsol optimized geometry; magnetization = 1.10 μB/atom; N(E_F) = 3.5 states/eV/cell; raw total energy = -6.548 eV per atom; calculated formation energy = 0.43 eV per atom
1.0
-1.858 1.858 5.784
1.858 -1.858 5.784
1.858 1.858 -5.784
La Cr
2 1
Cartesian
0.000 0.000 1.753
0.000 0.000 9.816
0.000 0.000 5.784

---

> Among the records above, which one has the highest N(E_F)?

CrOs2Rh